MnGe2F6 | PBE+U | optimized geometry

For the spin magnetization, the calculation gives 0.56 μB/atom. The value obtained for the uncorrected energy is -0.19713 hartree per atom. The calculation puts the density of states at the Fermi level at 0.000 states/eV per cell. The offset from the most stable computed form comes out at 0.0 meV/atom.

Cell: 5.5435 7.4350 7.4350 Å, 101.83 81.98 81.98°
Site moments in Bohr magnetons follow the coordinates.
Fractional positions:
F  0.5432  0.7122  0.4806  0.00
F  0.1188  0.8163  0.9364  0.03
F  0.4568  0.2878  0.5194  0.00
F  0.3812  0.0636  0.1837  0.03
F  0.9568  0.5194  0.2878  0.00
F  0.1656  0.0644  0.6438  0.01
F  0.6656  0.6438  0.0644  0.01
F  0.6188  0.9364  0.8163  0.03
F  0.8344  0.9356  0.3562  0.01
F  0.0432  0.4806  0.7122  0.00
F  0.3344  0.3562  0.9356  0.01
F  0.8812  0.1837  0.0636  0.03
Ge  0.3501  0.5367  0.7811  0.01
Ge  0.8501  0.7811  0.5367  0.01
Ge  0.6499  0.4633  0.2189  0.01
Ge  0.1499  0.2189  0.4633  0.01
Mn  0.2500  0.0803  0.9197  4.69
Mn  0.7500  0.9197  0.0803  4.69